1.
Entry from the Alexandria database: crystalline Nd3Mg2Au3 at its relaxed geometry (GGA-PBE).

Properties
The formation energy comes out at -550 meV/atom.

Lattice parameters (Å, degrees): 11.007 11.007 11.007 160.04 154.07 32.94
Positions (direct):
Nd1 0.000 0.000 0.000
Nd2 0.378 0.878 0.500
Nd3 0.622 0.122 0.500
Mg1 0.246 0.246 0.000
Mg2 0.754 0.754 0.000
Au1 0.152 0.652 0.500
Au2 0.500 0.500 0.000
Au3 0.848 0.348 0.500

2.
Entry from the Alexandria database: crystalline SrLi3Ir at its relaxed geometry (GGA-PBE).

Properties
The formation energy comes out at 1418 meV/atom.

Lattice parameters (Å, degrees): 4.546 4.546 4.546 90.00 90.00 90.00
Positions (direct):
Sr1 0.000 0.000 0.000
Li1 0.000 0.000 0.500
Li2 0.000 0.500 0.000
Li3 0.500 0.000 0.000
Ir1 0.500 0.500 0.500

3.
Entry from the Alexandria database: crystalline LaRuPb2O8 at its relaxed geometry (GGA-PBE).

Properties
The calculation puts the uncorrected formation energy at -1.344 eV/atom.

Lattice parameters (Å, degrees): 5.058 6.888 5.070 90.00 91.13 90.00
Positions (direct):
La1 0.000 0.000 0.000
Ru1 0.000 0.500 0.000
Pb1 0.500 0.260 0.500
Pb2 0.500 0.740 0.500
O1 0.191 0.292 0.181
O2 0.191 0.708 0.181
O3 0.276 0.500 0.712
O4 0.312 0.000 0.674
O5 0.688 0.000 0.326
O6 0.724 0.500 0.288
O7 0.809 0.292 0.819
O8 0.809 0.708 0.819

4.
Entry from the Alexandria database: crystalline SrMn at its relaxed geometry (GGA-PBE).

Properties
The formation energy comes out at 740 meV/atom.

Lattice parameters (Å, degrees): 6.122 6.122 6.122 133.33 133.33 68.13
Positions (direct):
Sr1 0.375 0.625 0.750
Sr2 0.625 0.375 0.250
Mn1 0.125 0.875 0.250
Mn2 0.875 0.125 0.750

5.
Entry from the Alexandria database: crystalline BaSi3Ir5 at its relaxed geometry (GGA-PBE).

Properties
The calculation puts the uncorrected formation energy at -0.567 eV/atom.

Lattice parameters (Å, degrees): 6.634 6.634 12.470 90.00 90.00 145.13
Positions (direct):
Ba1 0.162 0.838 0.750
Ba2 0.838 0.162 0.250
Si1 0.117 0.883 0.250
Si2 0.384 0.616 0.037
Si3 0.384 0.616 0.463
Si4 0.616 0.384 0.537
Si5 0.616 0.384 0.963
Si6 0.883 0.117 0.750
Ir1 0.000 0.000 0.000
Ir2 0.000 0.000 0.500
Ir3 0.201 0.799 0.067
Ir4 0.201 0.799 0.433
Ir5 0.445 0.555 0.646
Ir6 0.445 0.555 0.854
Ir7 0.555 0.445 0.146
Ir8 0.555 0.445 0.354
Ir9 0.799 0.201 0.567
Ir10 0.799 0.201 0.933

6.
Entry from the Alexandria database: crystalline TmAlNi at its relaxed geometry (GGA-PBE).

Properties
The formation energy comes out at -634 meV/atom.

Lattice parameters (Å, degrees): 6.900 6.900 3.853 90.00 90.00 120.00
Positions (direct):
Tm1 0.000 0.416 0.000
Tm2 0.416 0.000 0.000
Tm3 0.584 0.584 0.000
Al1 0.000 0.763 0.500
Al2 0.237 0.237 0.500
Al3 0.763 0.000 0.500
Ni1 0.000 0.000 0.000
Ni2 0.333 0.667 0.500
Ni3 0.667 0.333 0.500

7.
Entry from the Alexandria database: crystalline TbNdAg4 at its relaxed geometry (GGA-PBE).

Properties
The formation energy comes out at -273 meV/atom.

Lattice parameters (Å, degrees): 5.417 5.417 7.664 110.52 110.52 40.78
Positions (direct):
Tb1 0.000 0.000 0.000
Nd1 0.000 0.000 0.500
Ag1 0.328 0.328 0.157
Ag2 0.330 0.330 0.674
Ag3 0.670 0.670 0.326
Ag4 0.672 0.672 0.843

Table of total energy (eV for the cell shown), in record order: -31.73; -9.19; -77.42; -18.74; -135.20; -47.69; -22.44